Here is a relaxed structure of LaCd2HgH from Alexandria. Energies are from PBE.

Space group: P4/mmm
Calculated volume, Å³/cell: 109.9
Size of the total moment, μB per formula unit: 0.00
Electronic total energy, eV for the cell shown: -11.6

The structure in POSCAR format:
```
LaCd2HgH
1.0
4.904 0.000 0.000
0.000 4.904 0.000
0.000 0.000 4.568
La Cd Hg H
1 2 1 1
Direct
0.000 0.000 0.000
0.000 0.500 0.500
0.500 0.000 0.500
0.500 0.500 0.000
0.000 0.000 0.500
```

Here is a relaxed structure of La2CdHgH from Alexandria. Energies are from PBE.

Space group: P4/mmm
Polymorph energy (0 for the lowest one), eV per atom: 0.000
Calculated volume, Å³/cell: 118.0
Size of the total moment, μB per formula unit: 0.00
Electronic total energy, eV for the cell shown: -16.3

The structure in POSCAR format:
```
La2CdHgH
1.0
5.043 0.000 0.000
0.000 5.043 0.000
0.000 0.000 4.641
La Cd Hg H
2 1 1 1
Direct
0.000 0.500 0.000
0.500 0.000 0.000
0.000 0.000 0.500
0.500 0.500 0.500
0.000 0.000 0.000
```

Here is a relaxed structure of Mg2CdHgH from Alexandria. Energies are from PBE.

Space group: P4/mmm
Calculated volume, Å³/cell: 88.3
Size of the total moment, μB per formula unit: 0.00
Electronic total energy, eV for the cell shown: -7.7

The structure in POSCAR format:
```
Mg2CdHgH
1.0
4.466 0.000 0.000
0.000 4.466 0.000
0.000 0.000 4.425
Mg Cd Hg H
2 1 1 1
Direct
0.000 0.500 0.000
0.500 0.000 0.000
0.000 0.000 0.500
0.500 0.500 0.500
0.000 0.000 0.000
```

Here is a relaxed structure of NaCd2HgH from Alexandria. Energies are from PBE.

Space group: P4/mmm
Calculated volume, Å³/cell: 97.4
Size of the total moment, μB per formula unit: 0.00
Electronic total energy, eV for the cell shown: -6.5

The structure in POSCAR format:
```
NaCd2HgH
1.0
4.559 0.000 0.000
0.000 4.559 0.000
0.000 0.000 4.688
Na Cd Hg H
1 2 1 1
Direct
0.000 0.000 0.000
0.000 0.500 0.500
0.500 0.000 0.500
0.500 0.500 0.000
0.000 0.000 0.500
```

Here is a relaxed structure of CdHgHPb2 from Alexandria. Energies are from PBE.

Space group: P4/mmm
Polymorph energy (0 for the lowest one), eV per atom: 0.000
Calculated volume, Å³/cell: 117.1
Size of the total moment, μB per formula unit: 0.00
Electronic total energy, eV for the cell shown: -10.8

The structure in POSCAR format:
```
CdHgHPb2
1.0
5.350 0.000 0.000
0.000 5.350 0.000
0.000 0.000 4.091
Cd Hg H Pb
1 1 1 2
Direct
0.000 0.000 0.000
0.500 0.500 0.000
0.000 0.000 0.500
0.000 0.500 0.500
0.500 0.000 0.500
```

Here is a relaxed structure of Cd2HgHPb from Alexandria. Energies are from PBE.

Space group: P4/mmm
Calculated volume, Å³/cell: 108.7
Size of the total moment, μB per formula unit: 0.00
Electronic total energy, eV for the cell shown: -7.9

The structure in POSCAR format:
```
Cd2HgHPb
1.0
4.840 0.000 0.000
0.000 4.840 0.000
0.000 0.000 4.639
Cd Hg H Pb
2 1 1 1
Direct
0.000 0.500 0.000
0.500 0.000 0.000
0.000 0.000 0.500
0.500 0.500 0.000
0.500 0.500 0.500
```

Here is a relaxed structure of CdHgHPb2 from Alexandria. Energies are from PBE.

Space group: P4/mmm
Polymorph energy (0 for the lowest one), eV per atom: 0.029
Calculated volume, Å³/cell: 117.8
Size of the total moment, μB per formula unit: 0.00
Electronic total energy, eV for the cell shown: -10.7

The structure in POSCAR format:
```
CdHgHPb2
1.0
4.785 0.000 0.000
0.000 4.785 0.000
0.000 0.000 5.144
Cd Hg H Pb
1 1 1 2
Direct
0.000 0.000 0.000
0.500 0.500 0.000
0.500 0.500 0.500
0.000 0.500 0.500
0.500 0.000 0.500
```

Here is a relaxed structure of CdHgHPd2 from Alexandria. Energies are from PBE.

Space group: P4/mmm
Polymorph energy (0 for the lowest one), eV per atom: 0.000
Calculated volume, Å³/cell: 73.8
Size of the total moment, μB per formula unit: 0.00
Electronic total energy, eV for the cell shown: -15.5

The structure in POSCAR format:
```
CdHgHPd2
1.0
4.126 0.000 0.000
0.000 4.126 0.000
0.000 0.000 4.335
Cd Hg H Pd
1 1 1 2
Direct
0.000 0.000 0.000
0.500 0.500 0.000
0.000 0.000 0.500
0.000 0.500 0.500
0.500 0.000 0.500
```

Here is a relaxed structure of CdHgHPd2 from Alexandria. Energies are from PBE.

Space group: P4/mmm
Polymorph energy (0 for the lowest one), eV per atom: 0.036
Calculated volume, Å³/cell: 74.1
Size of the total moment, μB per formula unit: 0.00
Electronic total energy, eV for the cell shown: -15.3

The structure in POSCAR format:
```
CdHgHPd2
1.0
4.141 0.000 0.000
0.000 4.141 0.000
0.000 0.000 4.320
Cd Hg H Pd
1 1 1 2
Direct
0.000 0.000 0.000
0.500 0.500 0.000
0.500 0.500 0.500
0.000 0.500 0.500
0.500 0.000 0.500
```

Here is a relaxed structure of CdHgHPt2 from Alexandria. Energies are from PBE.

Space group: P4/mmm
Polymorph energy (0 for the lowest one), eV per atom: 0.035
Calculated volume, Å³/cell: 74.8
Size of the total moment, μB per formula unit: 0.00
Electronic total energy, eV for the cell shown: -16.5

The structure in POSCAR format:
```
CdHgHPt2
1.0
4.117 0.000 0.000
0.000 4.117 0.000
0.000 0.000 4.410
Cd Hg H Pt
1 1 1 2
Direct
0.000 0.000 0.000
0.500 0.500 0.000
0.500 0.500 0.500
0.000 0.500 0.500
0.500 0.000 0.500
```

Here is a relaxed structure of CdHg2HPt from Alexandria. Energies are from PBE.

Space group: P4/mmm
Calculated volume, Å³/cell: 101.6
Size of the total moment, μB per formula unit: 0.00
Electronic total energy, eV for the cell shown: -10.6

The structure in POSCAR format:
```
CdHg2HPt
1.0
5.427 0.000 0.000
0.000 5.427 0.000
0.000 0.000 3.448
Cd Hg H Pt
1 2 1 1
Direct
0.000 0.000 0.000
0.000 0.500 0.500
0.500 0.000 0.500
0.500 0.500 0.000
0.500 0.500 0.500
```

Here is a relaxed structure of CdHgHPt2 from Alexandria. Energies are from PBE.

Space group: P4/mmm
Polymorph energy (0 for the lowest one), eV per atom: 0.000
Calculated volume, Å³/cell: 74.4
Size of the total moment, μB per formula unit: 0.00
Electronic total energy, eV for the cell shown: -16.6

The structure in POSCAR format:
```
CdHgHPt2
1.0
4.104 0.000 0.000
0.000 4.104 0.000
0.000 0.000 4.420
Cd Hg H Pt
1 1 1 2
Direct
0.000 0.000 0.000
0.500 0.500 0.000
0.000 0.000 0.500
0.000 0.500 0.500
0.500 0.000 0.500
```